Computed, not measured: MnCoNO2 after structural relaxation at the PBE with a Hubbard U level of DFT.

abc: 4.050 3.363 4.050
angles: 90.00 90.00 90.00
Last column: magnetic moment on the atom in μB.
Atoms (fractional coordinates):
Mn 0.500 0.500 0.500  4.64
Co 0.000 0.500 0.000  -1.42
O 0.000 0.000 0.500  0.02
O 0.500 0.000 0.000  0.06
N 0.000 0.000 0.000  0.02

Properties
space group	P4/mmm (123)
D(E_F)	1.07	states/eV/cell
calculated total energy	-5.6700	eV/atom